Al5Rh7 | PBE | relaxed Values from VASP.

ΔE to the lowest computed polymorph, eV/atom: 0.262

```
&SYSTEM
  ibrav = 0, nat = 12, ntyp = 2
/
ATOMIC_SPECIES
Rh 102.91 Rh.upf
Al 26.98 Al.upf
CELL_PARAMETERS angstrom
7.831 0.000 0.000
0.000 2.833 0.000
0.000 0.000 7.901
ATOMIC_POSITIONS crystal
Rh 0.484 0.000 0.319
Rh 0.016 0.000 0.681
Rh 0.750 0.500 0.185
Rh 0.016 0.000 0.319
Rh 0.250 0.500 0.500
Rh 0.484 0.000 0.681
Rh 0.750 0.500 0.815
Al 0.954 0.000 0.000
Al 0.250 0.500 0.179
Al 0.750 0.500 0.500
Al 0.250 0.500 0.821
Al 0.546 0.000 0.000
```

Al5Rh3 | PBE | relaxed Values from VASP.

ΔE to the lowest computed polymorph, eV/atom: 0.164

```
&SYSTEM
  ibrav = 0, nat = 8, ntyp = 2
/
ATOMIC_SPECIES
Al 26.98 Al.upf
Rh 102.91 Rh.upf
CELL_PARAMETERS angstrom
-0.743 3.025 4.285
-4.713 -0.505 2.364
0.033 -2.560 4.638
ATOMIC_POSITIONS crystal
Al 0.500 0.000 0.000
Al 0.000 0.000 0.500
Al 0.000 0.500 0.000
Al 0.500 0.500 0.500
Al 0.000 0.000 0.000
Rh 0.500 0.000 0.500
Rh 0.500 0.500 0.000
Rh 0.000 0.500 0.500
```

AlRh4 | PBE | relaxed Values from VASP.

ΔE to the lowest computed polymorph, eV/atom: 0.875

```
&SYSTEM
  ibrav = 0, nat = 5, ntyp = 2
/
ATOMIC_SPECIES
Al 26.98 Al.upf
Rh 102.91 Rh.upf
CELL_PARAMETERS angstrom
-0.187 0.951 4.698
3.813 2.183 -1.923
-3.995 1.602 -2.116
ATOMIC_POSITIONS crystal
Al 0.000 0.000 0.000
Rh 0.000 0.500 0.000
Rh 0.000 0.000 0.500
Rh 0.500 0.500 0.500
Rh 0.500 0.000 0.000
```

AlRh3 | PBE | relaxed Values from VASP.

Total energy, eV/cell: -27.7

```
&SYSTEM
  ibrav = 0, nat = 4, ntyp = 2
/
ATOMIC_SPECIES
Rh 102.91 Rh.upf
Al 26.98 Al.upf
CELL_PARAMETERS angstrom
4.721 0.001 0.007
3.907 2.651 0.007
1.020 0.313 4.488
ATOMIC_POSITIONS crystal
Rh 0.500 0.500 0.500
Rh 0.742 0.742 0.751
Rh 0.258 0.258 0.249
Al 0.000 0.000 0.000
```

Al6Rh5 | PBE | relaxed Values from VASP.

ΔE to the lowest computed polymorph, eV/atom: 0.000

```
&SYSTEM
  ibrav = 0, nat = 11, ntyp = 2
/
ATOMIC_SPECIES
Al 26.98 Al.upf
Rh 102.91 Rh.upf
CELL_PARAMETERS angstrom
4.061 0.004 -1.257
-0.675 5.393 -2.163
0.042 -0.230 7.323
ATOMIC_POSITIONS crystal
Al 0.500 0.766 0.000
Al 0.500 0.234 0.000
Al 0.837 0.079 0.674
Al 0.837 0.595 0.674
Al 0.163 0.921 0.326
Al 0.163 0.405 0.326
Rh 0.000 0.500 0.000
Rh 0.662 0.662 0.323
Rh 0.338 0.338 0.677
Rh 0.329 0.829 0.659
Rh 0.671 0.171 0.341
```

Al7Rh3 | PBE | relaxed Values from VASP.

Total energy, eV/cell: -52.7

```
&SYSTEM
  ibrav = 0, nat = 10, ntyp = 2
/
ATOMIC_SPECIES
Al 26.98 Al.upf
Rh 102.91 Rh.upf
CELL_PARAMETERS angstrom
-0.971 -0.694 -2.589
-3.308 -0.919 1.487
-4.564 13.399 -1.877
ATOMIC_POSITIONS crystal
Al 0.000 0.000 0.029
Al 0.500 0.500 0.912
Al 0.000 0.000 0.807
Al 0.500 0.500 0.692
Al 0.000 0.000 0.589
Al 0.500 0.500 0.480
Al 0.500 0.500 0.285
Rh 0.000 0.000 0.408
Rh 0.000 0.000 0.212
Rh 0.500 0.500 0.087
```

Al2Rh3 | PBE | relaxed Values from VASP.

ΔE to the lowest computed polymorph, eV/atom: 0.180

```
&SYSTEM
  ibrav = 0, nat = 5, ntyp = 2
/
ATOMIC_SPECIES
Al 26.98 Al.upf
Rh 102.91 Rh.upf
CELL_PARAMETERS angstrom
0.584 9.568 -3.456
-2.166 9.083 -4.078
-1.427 9.982 -1.464
ATOMIC_POSITIONS crystal
Al 0.400 0.400 0.400
Al 0.600 0.600 0.600
Rh 0.000 0.000 0.000
Rh 0.795 0.795 0.795
Rh 0.205 0.205 0.205
```

Al6Rh7 | PBE | relaxed Values from VASP.

Total energy, eV/cell: -79.1

```
&SYSTEM
  ibrav = 0, nat = 13, ntyp = 2
/
ATOMIC_SPECIES
Rh 102.91 Rh.upf
Al 26.98 Al.upf
CELL_PARAMETERS angstrom
8.873 -0.010 -0.006
7.307 5.034 -0.006
7.307 2.269 4.494
ATOMIC_POSITIONS crystal
Rh 0.921 0.415 0.415
Rh 0.415 0.415 0.921
Rh 0.415 0.921 0.415
Rh 0.079 0.585 0.585
Rh 0.585 0.079 0.585
Rh 0.585 0.585 0.079
Rh 0.500 0.500 0.500
Al 0.947 0.947 0.947
Al 0.053 0.053 0.053
Al 0.838 0.838 0.838
Al 0.162 0.162 0.162
Al 0.665 0.665 0.665
Al 0.335 0.335 0.335
```

Question: What is the formula in the eighth record?
Answer: Al6Rh7

Question: What is the formula in the eighth record?
Answer: Al6Rh7